1.
Ce2Er3TmS6 | PBE | relaxed

Summary:
Total DFT energy (no corrections): -6.553 eV per atom
E_form (uncorrected): -1987 meV/atom

Cell: 17.0889 3.8932 7.8794 Å, 90.00 103.73 90.00°
Closest atoms and distances in Å follow each position.
Space group C2/m (No. 12)
Asymmetric unit:
Ce1 0.1677 0.0000 0.3364 x4  6 S 2.82-2.84
Er1 0.0000 0.5000 0.5000 x2  6 S 2.70-2.78
Er2 0.1683 0.0000 0.8324 x4  6 S 2.70-2.77
Tm1 0.0000 0.5000 0.0000 x2  6 S 2.74-2.76
S1 0.0036 0.0000 0.7540 x4  3 Er 2.73-2.78, 2 Tm 2.76, 1 Ce 2.84
S2 0.1626 0.5000 0.5922 x4  3 Er 2.70, 3 Ce 2.82
S3 0.1651 0.5000 0.0728 x4  3 Er 2.73-2.77, 1 Tm 2.74, 2 Ce 2.84

=====

2.
SmIn12Rh6 | PBE | relaxed

Summary:
Total DFT energy (no corrections): -4.575 eV per atom
Energy relative to the elements: -5.23 eV per formula unit

Cell: 12.4630 12.4630 9.1118 Å, 90.00 90.00 120.00°
Closest atoms and distances in Å follow each position.
Space group R-3m (No. 166, hexagonal axes)
Asymmetric unit:
Sm1 0.0000 0.0000 0.0000 x3  6 In 3.47
In1 0.0000 0.3810 0.5000 x18  4 Rh 2.72-2.75, 3 In 2.97-3.02
In2 0.0861 0.1723 0.3209 x18  3 Rh 2.69-2.79
Rh1 0.0508 0.5254 0.2527 x18  7 In 2.69-2.79

=====

3.
PuSnIrPd | PBE | relaxed

Summary:
Total DFT energy (no corrections): -8.501 eV per atom
Energy relative to the elements: -1.62 eV per formula unit

Cell: 6.7804 6.7804 6.7804 Å, 90.00 90.00 90.00°
Closest atoms and distances in Å follow each position.
Space group F-43m (No. 216)
Asymmetric unit:
Pu1 0.0000 0.0000 0.0000 x4  4 Ir 2.94, 4 Pd 2.94
Sn1 0.0000 0.0000 0.5000 x4  4 Pd 2.94, 4 Ir 2.94
Ir1 0.2500 0.2500 0.7500 x4  4 Sn 2.94, 4 Pu 2.94
Pd1 0.2500 0.2500 0.2500 x4  4 Sn 2.94, 4 Pu 2.94

=====

4.
RbGaC | PBE | relaxed

Summary:
Total DFT energy (no corrections): -3.772 eV per atom
Energy relative to the elements: 1.90 eV per formula unit

Cell: 5.9457 11.2101 5.7395 Å, 90.00 90.00 90.00°
Closest atoms and distances in Å follow each position.
Space group Cmcm (No. 63)
Asymmetric unit:
Rb1 0.0000 0.1975 0.2500 x4  2 C 3.14
Ga1 0.0000 0.5000 0.0000 x4  2 C 1.87
C1 0.0000 0.3935 0.7500 x4  2 Ga 1.87

=====

5.
CsB3Cl | PBE | relaxed

Summary:
Total DFT energy (no corrections): -1.404 eV per atom
Energy above the most stable polymorph in this dataset: 0.7570 eV/atom
E_form (uncorrected): 3142 meV/atom

Cell: 5.5622 5.5622 5.5622 Å, 90.00 90.00 90.00°
Closest atoms and distances in Å follow each position.
Space group Pm-3m (No. 221)
Asymmetric unit:
Cs1 0.0000 0.0000 0.0000 x1  6 B 2.78
B1 0.0000 0.0000 0.5000 x3  2 Cs 2.78
Cl1 0.5000 0.5000 0.5000 x1  12 B 3.93

=====

6.
InH3W | PBE | relaxed

Summary:
Total DFT energy (no corrections): -4.692 eV per atom
Energy above the most stable polymorph in this dataset: 0.0000 eV/atom

Cell: 3.6491 3.6491 3.6491 Å, 90.00 90.00 90.00°
Closest atoms and distances in Å follow each position.
Space group Pm-3m (No. 221)
Asymmetric unit:
In1 0.0000 0.0000 0.0000 x1  12 H 2.58
H1 0.0000 0.5000 0.5000 x3  2 W 1.82
W1 0.5000 0.5000 0.5000 x1  6 H 1.82

=====

7.
NaSrNb3 | PBE | relaxed

Summary:
Total DFT energy (no corrections): -4.124 eV per atom
Energy above the most stable polymorph in this dataset: 0.5208 eV/atom
Energy relative to the elements: 12.59 eV per formula unit

Cell: 5.0174 5.0174 5.0174 Å, 90.00 90.00 90.00°
Closest atoms and distances in Å follow each position.
Space group Pm-3m (No. 221)
Asymmetric unit:
Na1 0.0000 0.0000 0.0000 x1  12 Nb 3.55
Sr1 0.5000 0.5000 0.5000 x1  6 Nb 2.51
Nb1 0.0000 0.5000 0.5000 x3  2 Sr 2.51

=====

8.
CsBaNbS4 | PBE | relaxed

Summary:
Total DFT energy (no corrections): -5.654 eV per atom
E_form (uncorrected): -1461 meV/atom

Cell: 7.4275 7.1069 9.7083 Å, 90.00 106.68 90.00°
Closest atoms and distances in Å follow each position.
Space group P2_1/m (No. 11)
Asymmetric unit:
Cs1 0.2185 0.2500 0.4341 x2  8 S 3.68-3.87
Ba1 0.2646 0.2500 0.9484 x2  6 S 3.20-3.35
Nb1 0.2882 0.7500 0.1825 x2  4 S 2.29
S1 0.0950 0.7500 0.3293 x2  1 Nb 2.29
S2 0.1126 0.7500 0.9465 x2  1 Nb 2.29
S3 0.4866 0.0040 0.2231 x4  1 Nb 2.29

=====

9.
CdFe2HgTe | PBE | relaxed

Summary:
Total DFT energy (no corrections): -3.354 eV per atom
E_form (uncorrected): 903 meV/atom

Cell: 4.8074 4.8074 5.7764 Å, 90.00 90.00 90.00°
Closest atoms and distances in Å follow each position.
Space group P4/mmm (No. 123)
Asymmetric unit:
Cd1 0.0000 0.0000 0.0000 x1  2 Te 2.89
Fe1 0.0000 0.5000 0.5000 x2  2 Te 2.40
Hg1 0.5000 0.5000 0.0000 x1  4 Cd 3.40, 8 Fe 3.76
Te1 0.0000 0.0000 0.5000 x1  4 Fe 2.40

=====

10.
ScSb2Ir | PBE | relaxed

Summary:
Total DFT energy (no corrections): -6.001 eV per atom
Energy above the most stable polymorph in this dataset: 0.2822 eV/atom
E_form (uncorrected): -142 meV/atom

Cell: 3.3273 3.3273 7.3805 Å, 90.00 90.00 90.00°
Closest atoms and distances in Å follow each position.
Space group P4/mmm (No. 123)
Asymmetric unit:
Sc1 0.0000 0.0000 0.0000 x1  8 Sb 3.10, 4 Sc 3.33
Sb1 0.5000 0.5000 0.2736 x2  4 Ir 2.89, 4 Sc 3.10
Ir1 0.0000 0.0000 0.5000 x1  8 Sb 2.89

=====

11.
CsCaLaCl6 | PBE | relaxed

Summary:
Total DFT energy (no corrections): -4.376 eV per atom
E_form (uncorrected): -2280 meV/atom

Cell: 9.9757 10.3736 14.5534 Å, 90.00 90.00 90.00°
Closest atoms and distances in Å follow each position.
Space group Imma (No. 74)
Asymmetric unit:
Cs1 0.0000 0.2500 0.0492 x4  1 Cl 3.39
Ca1 0.2500 0.2500 0.7500 x4  6 Cl 2.67-2.78
La1 0.0000 0.0000 0.5000 x4  6 Cl 2.78-2.83
Cl1 0.0000 0.2500 0.4229 x4  2 La 2.83
Cl2 0.0000 0.2500 0.8164 x4  2 Ca 2.67
Cl3 0.2098 0.0592 0.6189 x16  1 Ca 2.78, 1 La 2.78

=====

12.
YTaFeAs2 | PBE | relaxed

Summary:
Total DFT energy (no corrections): -6.425 eV per atom
Energy relative to the elements: 3.95 eV per formula unit

Cell: 4.9265 4.9265 5.5963 Å, 90.00 90.00 90.00°
Closest atoms and distances in Å follow each position.
Space group P4/mmm (No. 123)
Asymmetric unit:
Y1 0.0000 0.0000 0.0000 x1  2 Ta 2.80
Ta1 0.0000 0.0000 0.5000 x1  4 As 2.46
Fe1 0.5000 0.5000 0.0000 x1  4 Y 3.48, 8 As 3.73
As1 0.0000 0.5000 0.5000 x2  2 Ta 2.46

=====

13.
RbCu2O10 | PBE | relaxed

Summary:
Total DFT energy (no corrections): -4.778 eV per atom
E_form (uncorrected): -259 meV/atom

Cell: 10.4480 6.4292 6.9275 Å, 90.00 108.92 90.00°
Closest atoms and distances in Å follow each position.
Space group C2/m (No. 12)
Asymmetric unit:
Rb1 0.0000 0.0000 0.0000 x2  2 O 2.80
Cu1 0.2500 0.2500 0.5000 x4  4 O 1.80-1.95
O1 0.0220 0.5000 0.4267 x4  1 O 1.24
O2 0.1647 0.5000 0.1517 x4  2 O 1.38
O3 0.1825 0.0000 0.3991 x4  2 Cu 1.80
O4 0.2378 0.3202 0.2212 x8  1 O 1.38

=====

14.
ErHf3P4 | PBE | relaxed

Summary:
Total DFT energy (no corrections): -8.338 eV per atom
Energy relative to the elements: -10.64 eV per formula unit

Cell: 7.5355 10.6270 3.7502 Å, 90.00 90.00 90.00°
Closest atoms and distances in Å follow each position.
Space group Cmmm (No. 65)
Asymmetric unit:
Er1 0.0000 0.0000 0.0000 x2  6 P 2.71
Hf1 0.0000 0.5000 0.0000 x2  6 P 2.61
Hf2 0.2500 0.2500 0.5000 x4  6 P 2.66
P1 0.0000 0.2547 0.0000 x4  5 Hf 2.61-2.66, 1 Er 2.71
P2 0.2406 0.5000 0.5000 x4  4 Hf 2.61-2.66, 2 Er 2.71

=====

15.
BaSc2In | PBE | relaxed

Summary:
Total DFT energy (no corrections): -4.284 eV per atom
Energy relative to the elements: 0.19 eV per formula unit

Cell: 11.0978 3.4348 6.3646 Å, 90.00 100.14 90.00°
Closest atoms and distances in Å follow each position.
Space group C2/m (No. 12)
Asymmetric unit:
Ba1 0.0000 0.0000 0.0000 x2  6 Sc 3.42-3.72, 2 Ba 3.43, 4 In 3.62
Sc1 0.2258 0.0000 0.6982 x4  2 In 3.12, 4 Sc 3.17-3.43, 1 Ba 3.42
In1 0.0000 0.5000 0.5000 x2  4 Sc 3.12, 2 In 3.43

=====

16.
PrHo2PuS4 | PBE | relaxed

Summary:
Total DFT energy (no corrections): -7.550 eV per atom
E_form (uncorrected): -1953 meV/atom

Cell: 6.8524 3.9340 6.8951 Å, 90.00 109.07 90.00°
Closest atoms and distances in Å follow each position.
Space group P2/m (No. 10)
Asymmetric unit:
Pr1 0.0000 0.0000 0.0000 x1  6 S 2.87
Ho1 0.0000 0.5000 0.5000 x1  6 S 2.77-2.78
Ho2 0.5000 0.0000 0.5000 x1  6 S 2.73
Pu1 0.5000 0.5000 0.0000 x1  6 S 2.83
S1 0.2516 0.0000 0.7394 x2  3 Ho 2.73-2.78, 2 Pu 2.83, 1 Pr 2.87
S2 0.2603 0.5000 0.2651 x2  3 Ho 2.73-2.77, 1 Pu 2.83, 2 Pr 2.87

=====

17.
Co3Os | PBE | relaxed

Summary:
Total DFT energy (no corrections): -8.004 eV per atom
Energy relative to the elements: 0.53 eV per formula unit

Cell: 8.3807 2.5645 4.3769 Å, 90.00 100.07 90.00°
Closest atoms and distances in Å follow each position.
Space group C2/m (No. 12)
Asymmetric unit:
Co1 0.0000 0.0000 0.0000 x2  8 Co 2.53-2.56, 4 Os 2.54
Co2 0.2489 0.5000 0.2474 x4  9 Co 2.52-2.56, 3 Os 2.53-2.55
Os1 0.0000 0.5000 0.5000 x2  10 Co 2.53-2.55, 2 Os 2.56

=====

18.
MnIr2Pd | PBE | relaxed

Summary:
Total DFT energy (no corrections): -7.605 eV per atom
Energy relative to the elements: 1.67 eV per formula unit

Cell: 6.9335 6.9335 5.1394 Å, 90.00 90.00 90.00°
Closest atoms and distances in Å follow each position.
Space group I-42d (No. 122)
Asymmetric unit:
Mn1 0.0000 0.0000 0.0000 x4  4 Ir 2.32, 2 Pd 2.57
Ir1 0.2018 0.2500 0.1250 x8  2 Mn 2.32
Pd1 0.0000 0.0000 0.5000 x4  2 Mn 2.57, 4 Ir 2.77

=====

19.
AsSN2 | PBE | relaxed

Summary:
Total DFT energy (no corrections): -6.240 eV per atom
Energy above the most stable polymorph in this dataset: 0.0000 eV/atom
E_form (uncorrected): 117 meV/atom

Cell: 3.3219 3.6992 9.4069 Å, 93.13 97.10 100.79°
Closest atoms and distances in Å follow each position.
Space group P1 (No. 1)
Asymmetric unit:
As1 0.0000 0.0000 0.0000 x1  2 S 2.28-2.31
S1 0.4816 0.6938 0.1121 x1  2 As 2.28-2.31
N1 0.3936 0.0913 0.5918 x1  1 N 1.11
N2 0.4175 0.2411 0.4927 x1  1 N 1.11

=====

20.
ErPaCoOs | PBE | relaxed

Summary:
Total DFT energy (no corrections): -8.314 eV per atom
Energy relative to the elements: -0.86 eV per formula unit

Cell: 6.7588 6.7588 6.7588 Å, 90.00 90.00 90.00°
Closest atoms and distances in Å follow each position.
Space group F-43m (No. 216)
Asymmetric unit:
Er1 0.0000 0.0000 0.0000 x4  4 Os 2.93, 4 Co 2.93
Pa1 0.0000 0.0000 0.5000 x4  4 Co 2.93, 4 Os 2.93
Co1 0.2500 0.2500 0.2500 x4  4 Pa 2.93, 4 Er 2.93
Os1 0.2500 0.2500 0.7500 x4  4 Pa 2.93, 4 Er 2.93

=====

21.
BePRu2 | PBE | relaxed

Summary:
Total DFT energy (no corrections): -7.056 eV per atom
Energy above the most stable polymorph in this dataset: 0.3325 eV/atom
Energy relative to the elements: -0.54 eV per formula unit

Cell: 2.9032 2.9032 20.5274 Å, 90.00 90.00 120.00°
Closest atoms and distances in Å follow each position.
Space group R-3m (No. 166, hexagonal axes)
Asymmetric unit:
Be1 0.0000 0.0000 0.0000 x3  6 Ru 2.40
P1 0.0000 0.0000 0.5000 x3  6 Ru 2.39
Ru1 0.0000 0.0000 0.2495 x6  3 P 2.39, 3 Be 2.40

=====

22.
TlC2 | PBE | relaxed

Summary:
Total DFT energy (no corrections): -6.023 eV per atom
Energy above the most stable polymorph in this dataset: 0.0121 eV/atom
Energy relative to the elements: 2.74 eV per formula unit

Cell: 2.6495 7.4651 11.8755 Å, 90.00 90.00 90.00°
Closest atoms and distances in Å follow each position.
Space group Fmmm (No. 69)
Asymmetric unit:
Tl1 0.0000 0.0000 0.0000 x4  2 Tl 2.65, 2 C 2.88
C1 0.0000 0.0000 0.2424 x8  2 C 1.34

=====

23.
Na2LiGa3Au12 | PBE | relaxed

Summary:
Total DFT energy (no corrections): -3.100 eV per atom
Energy relative to the elements: -2.84 eV per formula unit

Cell: 9.4780 9.4780 13.4606 Å, 90.00 90.00 120.00°
Closest atoms and distances in Å follow each position.
Space group R-3m (No. 166, hexagonal axes)
Asymmetric unit:
Na1 0.0000 0.0000 0.1208 x6  6 Au 2.78-3.11
Li1 0.0000 0.0000 0.5000 x3  6 Au 2.73
Ga1 0.0000 0.5000 0.0000 x9  6 Au 2.60-2.74
Au1 0.0042 0.5021 0.1935 x18  1 Ga 2.60, 1 Li 2.73, 3 Au 2.75-2.80, 1 Na 2.78
Au2 0.0339 0.5169 0.3968 x18  2 Ga 2.74, 2 Au 2.75-2.83

=====

24.
Ac2AsPb | PBE | relaxed

Summary:
Total DFT energy (no corrections): -5.132 eV per atom
Energy above the most stable polymorph in this dataset: 0.0000 eV/atom
Energy relative to the elements: -3.95 eV per formula unit

Cell: 4.7722 25.7347 4.6250 Å, 90.00 90.00 90.00°
Closest atoms and distances in Å follow each position.
Space group Cmcm (No. 63)
Asymmetric unit:
Ac1 0.0000 0.0700 0.2500 x4  1 As 3.07, 4 Pb 3.39
Ac2 0.0000 0.3100 0.2500 x4  5 As 3.10-3.32
As1 0.0000 0.1894 0.2500 x4  6 Ac 3.07-3.32
Pb1 0.0000 0.4560 0.2500 x4  2 Pb 3.24, 4 Ac 3.39

=====

25.
Ho4CoSn | PBE | relaxed

Summary:
Total DFT energy (no corrections): -5.285 eV per atom
Energy relative to the elements: -2.29 eV per formula unit

Cell: 16.0555 7.0873 5.7803 Å, 90.00 110.71 90.00°
Closest atoms and distances in Å follow each position.
Space group C2/m (No. 12)
Asymmetric unit:
Ho1 0.0000 0.2123 0.0000 x4  2 Co 2.56
Ho2 0.1172 0.2551 0.6141 x8  2 Co 2.81
Ho3 0.1779 0.5000 0.1727 x4  2 Co 3.08-3.10, 2 Ho 3.36, 1 Sn 3.43
Co1 0.9997 0.5000 0.2674 x4  6 Ho 2.56-2.81, 1 Co 2.69
Sn1 0.1953 0.0000 0.1972 x4  12 Ho 3.30-3.63

=====

| no. | magnetization (μB/cell) | volume (Å³ per atom) |
| --- | --- | --- |
| 1 | 3.3 | 21.22 |
| 2 | 0.0 | 21.50 |
| 3 | 19.4 | 19.48 |
| 4 | 0.0 | 31.88 |
| 5 | 0.6 | 34.42 |
| 6 | 0.0 | 9.72 |
| 7 | 0.0 | 25.26 |
| 8 | 0.0 | 35.07 |
| 9 | 5.2 | 26.70 |
| 10 | 0.0 | 20.43 |
| 11 | 0.0 | 41.83 |
| 12 | 3.3 | 27.17 |
| 13 | 5.8 | 16.93 |
| 14 | 0.0 | 18.77 |
| 15 | 3.7 | 29.85 |
| 16 | 5.8 | 21.96 |
| 17 | 4.9 | 11.58 |
| 18 | 4.6 | 15.44 |
| 19 | 0.0 | 28.08 |
| 20 | 0.0 | 19.30 |
| 21 | 0.0 | 12.49 |
| 22 | 0.0 | 19.57 |
| 23 | 0.0 | 19.39 |
| 24 | 0.0 | 35.50 |
| 25 | 1.1 | 25.64 |